{"formula": "CoRuN2O", "functional": "GGA+U", "state": "relaxed", "cell": [[3.7400, 0.0000, 0.0000], [0.0000, 3.7400, 0.0000], [0.0000, 0.0000, 4.2456]], "species": ["Co", "Ru", "N", "N", "O"], "fractional_positions": [[0.0000, 0.0000, 0.0000], [0.5000, 0.5000, 0.5000], [0.0000, 0.5000, 0.5000], [0.5000, 0.0000, 0.5000], [0.5000, 0.5000, 0.0000]], "magmom_total_mub_per_fu": 2.64, "spacegroup": "P4/mmm (123)", "total_energy_ev_per_atom": -6.3814}